DFT (PBE) results for a geometry-optimized TlRe2Ir structure.

The polymorph energy (0 for the lowest one) is 591 meV per atom. For the formation enthalpy at 0 K, the calculation gives 1.00 eV per atom. The calculation puts the final energy at -128.492 eV/cell. The calculation puts the volume at 264.18 Å³ per cell. The value obtained for the total moment is 4.9 μB per cell.

The space group is Fm-3m (No. 225) and the conventional cell measures 6.417, 6.417 and 6.417 Å, with angles of 90.00, 90.00 and 90.00 degrees. The inequivalent atoms are Tl at (0.000, 0.000, 0.000), Re at (0.250, 0.250, 0.250) and Ir at (0.000, 0.000, 0.500).



DFT (PBE) results for a geometry-optimized TlRe2Ir structure.

The polymorph energy (0 for the lowest one) is 134 meV per atom. For the formation enthalpy at 0 K, the calculation gives 0.54 eV per atom. The calculation puts the final energy at -33.952 eV/cell. The calculation puts the volume at 67.14 Å³ per cell. The value obtained for the total moment is 0.0 μB per cell.

The space group is Pmm2 (No. 25) and the conventional cell measures 2.845, 3.926 and 6.010 Å, with angles of 90.00, 90.00 and 90.00 degrees. The inequivalent atoms are Tl at (0.000, 0.000, 0.000), Re at (0.000, 0.000, 0.510), Re at (0.500, 0.500, 0.699) and Ir at (0.500, 0.500, 0.264).



DFT (PBE) results for a geometry-optimized TlReIr2 structure.

The polymorph energy (0 for the lowest one) is 277 meV per atom. For the formation enthalpy at 0 K, the calculation gives 0.47 eV per atom. The calculation puts the final energy at -61.325 eV/cell. The calculation puts the volume at 145.99 Å³ per cell. The value obtained for the total moment is 0.0 μB per cell.

The space group is Imm2 (No. 44) and the conventional cell measures 2.815, 4.199 and 12.351 Å, with angles of 90.00, 90.00 and 90.00 degrees. The inequivalent atoms are Tl at (0.000, 0.000, 0.000), Re at (0.000, 0.500, 0.731), Ir at (0.000, 0.000, 0.402) and Ir at (0.000, 0.500, 0.162).



DFT (PBE) results for a geometry-optimized TlReIr2 structure.

The polymorph energy (0 for the lowest one) is 640 meV per atom. For the formation enthalpy at 0 K, the calculation gives 0.83 eV per atom. The calculation puts the final energy at -116.851 eV/cell. The calculation puts the volume at 299.69 Å³ per cell. The value obtained for the total moment is 0.0 μB per cell.

The space group is I-42d (No. 122) and the conventional cell measures 7.345, 7.345 and 5.556 Å, with angles of 90.00, 90.00 and 90.00 degrees. The inequivalent atoms are Tl at (0.000, 0.000, 0.000), Re at (0.000, 0.000, 0.500) and Ir at (0.207, 0.250, 0.625).



DFT (PBE) results for a geometry-optimized TlReIr structure.

The polymorph energy (0 for the lowest one) is 0 meV per atom. For the formation enthalpy at 0 K, the calculation gives 0.48 eV per atom. The calculation puts the final energy at -44.474 eV/cell. The calculation puts the volume at 105.75 Å³ per cell. The value obtained for the total moment is 0.0 μB per cell.

The space group is I4mm (No. 107) and the conventional cell measures 2.925, 2.925 and 12.360 Å, with angles of 90.00, 90.00 and 90.00 degrees. The inequivalent atoms are Tl at (0.000, 0.000, 0.000), Re at (0.000, 0.000, 0.316) and Ir at (0.000, 0.000, 0.688).



DFT (PBE) results for a geometry-optimized TlReIr2 structure.

The polymorph energy (0 for the lowest one) is 308 meV per atom. For the formation enthalpy at 0 K, the calculation gives 0.50 eV per atom. The calculation puts the final energy at -30.538 eV/cell. The calculation puts the volume at 67.57 Å³ per cell. The value obtained for the total moment is 0.0 μB per cell.

The space group is Pmm2 (No. 25) and the conventional cell measures 2.811, 3.869 and 6.213 Å, with angles of 90.00, 90.00 and 90.00 degrees. The inequivalent atoms are Tl at (0.000, 0.000, 0.000), Re at (0.500, 0.500, 0.692), Ir at (0.000, 0.000, 0.507) and Ir at (0.500, 0.500, 0.269).



- Which value of polymorph energy (0 for the lowest one) does entry 6 give?
  308 meV per atom



- Among the records above, which one has the lowest polymorph energy (0 for the lowest one)?
  TlReIr